# BaScNi2, optimized geometry, DFT PBE
# Energy relative to the lowest polymorph listed for this composition in meV per atom: 77.0
# Calculated formation energy in eV/atom: -0.02
data_BaScNi2
_symmetry_space_group_name_H-M 'I m m 2'
_symmetry_Int_Tables_number 44
_cell_length_a 3.696
_cell_length_b 3.883
_cell_length_c 13.268
_cell_angle_alpha 90.00
_cell_angle_beta 90.00
_cell_angle_gamma 90.00
loop_
_symmetry_equiv_pos_as_xyz
'x,y,z'
'-x,-y,z'
'-x,y,z'
'x,-y,z'
'x+1/2,y+1/2,z+1/2'
'-x+1/2,-y+1/2,z+1/2'
'-x+1/2,y+1/2,z+1/2'
'x+1/2,-y+1/2,z+1/2'
loop_
_atom_site_label
_atom_site_fract_x
_atom_site_fract_y
_atom_site_fract_z
Ba1 0.000 0.000 0.000
Sc1 0.000 0.500 0.243
Ni1 0.000 0.000 0.370
Ni2 0.000 0.500 0.758